Entry 1:
Li2CrW (GGA-PBE, optimized geometry); final energy = -6.123 eV/atom; energy of formation from the pure elements = 0.478 eV per atom
1.0
2.9176 0.0000 0.0000
0.0000 4.0471 0.0000
0.0000 0.0000 4.8407
Li Cr W
2 1 1
Direct
0.0000 0.0000 0.0000 Li
0.5000 0.5000 0.0000 Li
0.0000 0.5000 0.5000 Cr
0.5000 0.0000 0.5000 W



Entry 2:
Li2ReOs (GGA-PBE, optimized geometry); final energy = -6.702 eV/atom; energy of formation from the pure elements = 0.174 eV per atom
1.0
2.6480 0.0000 0.0000
0.0000 4.1900 0.0000
-0.8931 0.0000 5.2372
Li Re Os
2 1 1
Direct
0.0000 0.0000 0.0000 Li
0.2989 0.5000 0.8219 Li
0.4783 0.0000 0.4852 Re
0.8839 0.5000 0.3246 Os